# PBE-GGA ZnSn2Sb, relaxed
# calculated volume = 26.9 Å³/atom
# ρ = 6.6 Mg/m³
# formation energy from raw total energies = 89 meV per atom
# total magnetization = 0.0 μB per cell
# uncorrected energy = -39.14 eV for the cell shown
# density of states at the Fermi level = 1.7 states/eV/f.u.
data_ZnSn2Sb
_space_group_name_H-M_alt 'R 3 m'
_space_group_IT_number 160
_space_group_name_Hall 'R 3 -2"'
_cell_length_a 4.3859
_cell_length_b 4.3859
_cell_length_c 19.3613
_cell_angle_alpha 90.00
_cell_angle_beta 90.00
_cell_angle_gamma 120.00
loop_
_atom_site_label
_atom_site_type_symbol
_atom_site_fract_x
_atom_site_fract_y
_atom_site_fract_z
Zn1 Zn 0.0000 0.0000 0.0000
Sn1 Sn 0.0000 0.0000 0.4072
Sn2 Sn 0.0000 0.0000 0.6019
Sb1 Sb 0.0000 0.0000 0.1687